No. 1
Zr2AsBr | PBE | optimized geometry

Results
N(E_F)	2.00	states/eV/f.u.
formation energy (no corrections)	-621	meV per atom

Unit cell a=5.2934 b=5.2934 c=4.8082 alpha=100.43 beta=100.43 gamma=37.81
Closest atoms and distances in Å follow each position.
Fractional coordinates of all 4 atoms:
Zr 0.0000 0.0000 0.0000  3 As 2.80-2.86, 4 Br 2.95-2.96
Zr 0.2414 0.2414 0.6112  3 Br 2.74-2.94, 4 As 2.89-3.02
As 0.7255 0.7255 0.0887  7 Zr 2.80-3.02
Br 0.4989 0.4989 0.4979  7 Zr 2.74-2.96


No. 2
CeVPd | PBE | optimized geometry

Results
N(E_F)	5.59	states/eV/f.u.
energy relative to the elements	-0.4	eV per formula unit

Unit cell a=5.6318 b=5.6318 c=5.6318 alpha=132.66 beta=103.61 gamma=94.99
Closest atoms and distances in Å follow each position.
Fractional coordinates of all 6 atoms:
Ce 0.0000 0.0000 0.0000  6 V 3.01-3.21, 6 Pd 3.17-3.29
Ce 0.6070 0.1070 0.5000  6 Pd 2.98-3.14, 2 V 3.14
V 0.0643 0.7199 0.3444  1 V 2.17
V 0.3754 0.7199 0.6556  1 V 2.17
Pd 0.1863 0.3905 0.7958  3 V 2.63-2.69, 1 Pd 2.84
Pd 0.5947 0.3905 0.2042  3 V 2.63-2.69, 1 Pd 2.84


No. 3
SrZn3Rh | PBE | optimized geometry

Results
relative energy among the computed polymorphs	0.134	eV/atom
N(E_F)	2.96	states/eV/f.u.
energy relative to the elements	-1.1	eV per formula unit

Unit cell a=7.3777 b=7.3777 c=6.7486 alpha=102.23 beta=102.23 gamma=36.79
Closest atoms and distances in Å follow each position.
Fractional coordinates of all 10 atoms:
Sr 0.1706 0.1706 0.2841  6 Zn 3.09-3.39, 3 Rh 3.15-3.16
Sr 0.8294 0.8294 0.7159  6 Zn 3.09-3.39, 3 Rh 3.15-3.16
Zn 0.1541 0.1541 0.7994  3 Rh 2.58-2.67, 2 Zn 2.79
Zn 0.4061 0.4061 0.4216  5 Zn 2.53-2.79, 1 Rh 2.59
Zn 0.4778 0.4778 0.8160  3 Zn 2.42-2.63, 1 Rh 2.59
Zn 0.5222 0.5222 0.1840  3 Zn 2.42-2.63, 1 Rh 2.59
Zn 0.5939 0.5939 0.5784  5 Zn 2.53-2.79, 1 Rh 2.59
Zn 0.8459 0.8459 0.2006  3 Rh 2.58-2.67, 2 Zn 2.79
Rh 0.3355 0.3355 0.0322  6 Zn 2.58-2.72
Rh 0.6645 0.6645 0.9678  6 Zn 2.58-2.72


No. 4
CaHfTaI2 | PBE | optimized geometry

Results
N(E_F)	4.89	states/eV/f.u.
formation energy (no corrections)	665	meV per atom

Unit cell a=5.6062 b=5.6062 c=5.1685 alpha=90.00 beta=90.00 gamma=90.00
Closest atoms and distances in Å follow each position.
Fractional coordinates of all 5 atoms:
Ca 0.0000 0.0000 0.0000  8 I 3.81, 4 Hf 3.96
Hf 0.5000 0.5000 0.0000  2 Ta 2.58
Ta 0.5000 0.5000 0.5000  2 Hf 2.58, 4 I 2.80
I 0.0000 0.5000 0.5000  2 Ta 2.80
I 0.5000 0.0000 0.5000  2 Ta 2.80


No. 5
LiTm3Tl2 | PBE | optimized geometry

Results
relative energy among the computed polymorphs	0.051	eV/atom
N(E_F)	2.48	states/eV/f.u.
energy relative to the elements	-1.2	eV per formula unit

Unit cell a=9.1260 b=9.1260 c=9.1260 alpha=139.33 beta=58.91 gamma=139.28
Closest atoms and distances in Å follow each position.
Fractional coordinates of all 12 atoms:
Li 0.2500 0.2500 0.0000  4 Tl 3.04, 2 Tm 3.17, 2 Li 3.18
Li 0.7500 0.7500 0.0000  4 Tl 3.04, 2 Tm 3.17, 2 Li 3.18
Tm 0.1771 0.2308 0.4079  5 Tl 3.06-3.41
Tm 0.2500 0.7500 0.5000  4 Tl 3.07, 2 Li 3.17, 2 Tm 3.18
Tm 0.3229 0.7308 0.0537  5 Tl 3.06-3.41
Tm 0.6771 0.2692 0.9463  5 Tl 3.06-3.41
Tm 0.7500 0.2500 0.5000  4 Tl 3.07, 2 Li 3.17, 2 Tm 3.18
Tm 0.8229 0.7692 0.5921  5 Tl 3.06-3.41
Tl 0.1304 0.7551 0.8855  2 Li 3.04, 6 Tm 3.06-3.26
Tl 0.3696 0.2551 0.6247  2 Li 3.04, 6 Tm 3.06-3.26
Tl 0.6304 0.7449 0.3753  2 Li 3.04, 6 Tm 3.06-3.26
Tl 0.8696 0.2449 0.1145  2 Li 3.04, 6 Tm 3.06-3.26


No. 6
Sm3Tm2Tl2 | PBE | optimized geometry

Results
relative energy among the computed polymorphs	0.000	eV/atom
N(E_F)	6.53	states/eV/f.u.
energy relative to the elements	-1.3	eV per formula unit

Unit cell a=5.4553 b=5.4553 c=8.6508 alpha=108.48 beta=108.48 gamma=60.12
Closest atoms and distances in Å follow each position.
Fractional coordinates of all 7 atoms:
Sm 0.0000 0.0000 0.0000  6 Tl 3.35
Sm 0.1569 0.1569 0.4704  1 Tl 3.13, 3 Sm 3.19, 3 Tm 3.50
Sm 0.8431 0.8431 0.5296  1 Tl 3.13, 3 Sm 3.19, 3 Tm 3.50
Tm 0.4268 0.4268 0.2810  4 Tl 3.35-3.40, 6 Sm 3.50-3.74, 1 Tm 3.53
Tm 0.5732 0.5732 0.7190  4 Tl 3.35-3.40, 6 Sm 3.50-3.74, 1 Tm 3.53
Tl 0.2865 0.2865 0.8591  4 Sm 3.13-3.35, 4 Tm 3.35-3.40
Tl 0.7135 0.7135 0.1409  4 Sm 3.13-3.35, 4 Tm 3.35-3.40


No. 7
Er5Pu3H12 | PBE | optimized geometry

Results
N(E_F)	25.44	states/eV/f.u.

Unit cell a=11.1949 b=11.1949 c=11.1949 alpha=109.47 beta=109.47 gamma=109.47
Closest atoms and distances in Å follow each position.
Fractional coordinates of all 80 atoms:
Er 0.0000 0.0000 0.0000  6 H 2.19
Er 0.0000 0.0000 0.5000  6 H 2.19
Er 0.0000 0.5000 0.0000  6 H 2.19
Er 0.0000 0.5000 0.5000  6 H 2.19
Er 0.1250 0.7500 0.8750  4 H 2.17
Er 0.1250 0.8750 0.2500  4 H 2.17
Er 0.2500 0.1250 0.8750  4 H 2.17
Er 0.2500 0.6250 0.3750  4 H 2.17
Er 0.3750 0.2500 0.6250  4 H 2.17
Er 0.3750 0.6250 0.7500  4 H 2.17
Er 0.5000 0.0000 0.0000  6 H 2.19
Er 0.5000 0.0000 0.5000  6 H 2.19
Er 0.5000 0.5000 0.0000  6 H 2.19
Er 0.5000 0.5000 0.5000  6 H 2.19
Er 0.6250 0.3750 0.2500  4 H 2.17
Er 0.6250 0.7500 0.3750  4 H 2.17
Er 0.7500 0.3750 0.6250  4 H 2.17
Er 0.7500 0.8750 0.1250  4 H 2.17
Er 0.8750 0.1250 0.7500  4 H 2.17
Er 0.8750 0.2500 0.1250  4 H 2.17
Pu 0.1250 0.2500 0.3750  8 H 2.30-2.35
Pu 0.1250 0.3750 0.7500  8 H 2.30-2.35
Pu 0.2500 0.3750 0.1250  8 H 2.30-2.35
Pu 0.2500 0.8750 0.6250  8 H 2.30-2.35
Pu 0.3750 0.1250 0.2500  8 H 2.30-2.35
Pu 0.3750 0.7500 0.1250  8 H 2.30-2.35
Pu 0.6250 0.2500 0.8750  8 H 2.30-2.35
Pu 0.6250 0.8750 0.7500  8 H 2.30-2.35
Pu 0.7500 0.1250 0.3750  8 H 2.30-2.35
Pu 0.7500 0.6250 0.8750  8 H 2.30-2.35
Pu 0.8750 0.6250 0.2500  8 H 2.30-2.35
Pu 0.8750 0.7500 0.6250  8 H 2.30-2.35
H 0.0640 0.2247 0.1470  2 Er 2.17-2.19, 2 Pu 2.30-2.35, 1 H 2.35
H 0.0640 0.3394 0.9170  2 Er 2.17-2.19, 2 Pu 2.30-2.35, 1 H 2.35
H 0.0776 0.7247 0.6606  2 Er 2.17-2.19, 2 Pu 2.30-2.35, 1 H 2.35
H 0.0776 0.8530 0.4170  2 Er 2.17-2.19, 2 Pu 2.30-2.35, 1 H 2.35
H 0.0830 0.6470 0.4224  2 Er 2.17-2.19, 2 Pu 2.30-2.35, 1 H 2.35
H 0.0830 0.9360 0.6606  2 Er 2.17-2.19, 2 Pu 2.30-2.35, 1 H 2.35
H 0.1470 0.0640 0.2247  2 Er 2.17-2.19, 2 Pu 2.30-2.35, 1 H 2.35
H 0.1470 0.5830 0.9224  2 Er 2.17-2.19, 2 Pu 2.30-2.35, 1 H 2.35
H 0.1606 0.2247 0.5776  2 Er 2.17-2.19, 2 Pu 2.30-2.35, 1 H 2.35
H 0.1606 0.4360 0.5830  2 Er 2.17-2.19, 2 Pu 2.30-2.35, 1 H 2.35
H 0.2247 0.1470 0.0640  2 Er 2.17-2.19, 2 Pu 2.30-2.35, 1 H 2.35
H 0.2247 0.5776 0.1606  2 Er 2.17-2.19, 2 Pu 2.30-2.35, 1 H 2.35
H 0.2753 0.3394 0.9224  2 Er 2.17-2.19, 2 Pu 2.30-2.35, 1 H 2.35
H 0.2753 0.4360 0.3530  2 Er 2.17-2.19, 2 Pu 2.30-2.35, 1 H 2.35
H 0.3394 0.9170 0.0640  2 Er 2.17-2.19, 2 Pu 2.30-2.35, 1 H 2.35
H 0.3394 0.9224 0.2753  2 Er 2.17-2.19, 2 Pu 2.30-2.35, 1 H 2.35
H 0.3530 0.2753 0.4360  2 Er 2.17-2.19, 2 Pu 2.30-2.35, 1 H 2.35
H 0.3530 0.5776 0.9170  2 Er 2.17-2.19, 2 Pu 2.30-2.35, 1 H 2.35
H 0.4170 0.0776 0.8530  2 Er 2.17-2.19, 2 Pu 2.30-2.35, 1 H 2.35
H 0.4170 0.8394 0.5640  2 Er 2.17-2.19, 2 Pu 2.30-2.35, 1 H 2.35
H 0.4224 0.0830 0.6470  2 Er 2.17-2.19, 2 Pu 2.30-2.35, 1 H 2.35
H 0.4224 0.8394 0.7753  2 Er 2.17-2.19, 2 Pu 2.30-2.35, 1 H 2.35
H 0.4360 0.3530 0.2753  2 Er 2.17-2.19, 2 Pu 2.30-2.35, 1 H 2.35
H 0.4360 0.5830 0.1606  2 Er 2.17-2.19, 2 Pu 2.30-2.35, 1 H 2.35
H 0.5640 0.4170 0.8394  2 Er 2.17-2.19, 2 Pu 2.30-2.35, 1 H 2.35
H 0.5640 0.6470 0.7247  2 Er 2.17-2.19, 2 Pu 2.30-2.35, 1 H 2.35
H 0.5776 0.1606 0.2247  2 Er 2.17-2.19, 2 Pu 2.30-2.35, 1 H 2.35
H 0.5776 0.9170 0.3530  2 Er 2.17-2.19, 2 Pu 2.30-2.35, 1 H 2.35
H 0.5830 0.1606 0.4360  2 Er 2.17-2.19, 2 Pu 2.30-2.35, 1 H 2.35
H 0.5830 0.9224 0.1470  2 Er 2.17-2.19, 2 Pu 2.30-2.35, 1 H 2.35
H 0.6470 0.4224 0.0830  2 Er 2.17-2.19, 2 Pu 2.30-2.35, 1 H 2.35
H 0.6470 0.7247 0.5640  2 Er 2.17-2.19, 2 Pu 2.30-2.35, 1 H 2.35
H 0.6606 0.0776 0.7247  2 Er 2.17-2.19, 2 Pu 2.30-2.35, 1 H 2.35
H 0.6606 0.0830 0.9360  2 Er 2.17-2.19, 2 Pu 2.30-2.35, 1 H 2.35
H 0.7247 0.5640 0.6470  2 Er 2.17-2.19, 2 Pu 2.30-2.35, 1 H 2.35
H 0.7247 0.6606 0.0776  2 Er 2.17-2.19, 2 Pu 2.30-2.35, 1 H 2.35
H 0.7753 0.4224 0.8394  2 Er 2.17-2.19, 2 Pu 2.30-2.35, 1 H 2.35
H 0.7753 0.8530 0.9360  2 Er 2.17-2.19, 2 Pu 2.30-2.35, 1 H 2.35
H 0.8394 0.5640 0.4170  2 Er 2.17-2.19, 2 Pu 2.30-2.35, 1 H 2.35
H 0.8394 0.7753 0.4224  2 Er 2.17-2.19, 2 Pu 2.30-2.35, 1 H 2.35
H 0.8530 0.4170 0.0776  2 Er 2.17-2.19, 2 Pu 2.30-2.35, 1 H 2.35
H 0.8530 0.9360 0.7753  2 Er 2.17-2.19, 2 Pu 2.30-2.35, 1 H 2.35
H 0.9170 0.0640 0.3394  2 Er 2.17-2.19, 2 Pu 2.30-2.35, 1 H 2.35
H 0.9170 0.3530 0.5776  2 Er 2.17-2.19, 2 Pu 2.30-2.35, 1 H 2.35
H 0.9224 0.1470 0.5830  2 Er 2.17-2.19, 2 Pu 2.30-2.35, 1 H 2.35
H 0.9224 0.2753 0.3394  2 Er 2.17-2.19, 2 Pu 2.30-2.35, 1 H 2.35
H 0.9360 0.6606 0.0830  2 Er 2.17-2.19, 2 Pu 2.30-2.35, 1 H 2.35
H 0.9360 0.7753 0.8530  2 Er 2.17-2.19, 2 Pu 2.30-2.35, 1 H 2.35


No. 8
Ce2C | PBE | optimized geometry

Results
N(E_F)	7.04	states/eV/f.u.
energy relative to the elements	-0.4	eV per formula unit

Unit cell a=3.5194 b=3.5194 c=12.9531 alpha=90.00 beta=90.00 gamma=120.04
Closest atoms and distances in Å follow each position.
Fractional coordinates of all 6 atoms:
Ce 0.1656 0.8344 0.8898  3 C 2.48-2.49
Ce 0.3345 0.6656 0.3898  3 C 2.48-2.49
Ce 0.6656 0.3345 0.6102  3 C 2.48-2.49
Ce 0.8344 0.1656 0.1102  3 C 2.48-2.49
C 0.0000 0.0000 0.5000  6 Ce 2.48-2.49
C 0.5000 0.5000 0.0000  6 Ce 2.48-2.49


No. 9
HgSbSe2 | PBE | optimized geometry

Results
relative energy among the computed polymorphs	0.000	eV/atom
N(E_F)	1.39	states/eV/f.u.
formation energy (no corrections)	-150	meV per atom

Unit cell a=4.1964 b=4.1964 c=7.3599 alpha=99.76 beta=99.76 gamma=59.64
Closest atoms and distances in Å follow each position.
Fractional coordinates of all 4 atoms:
Hg 0.0000 0.0000 0.0000  2 Se 2.76
Sb 0.5000 0.5000 0.5000  6 Se 2.92
Se 0.2128 0.2128 0.7277  1 Hg 2.76, 3 Sb 2.92
Se 0.7872 0.7872 0.2723  1 Hg 2.76, 3 Sb 2.92


No. 10
SrTc2Mo | PBE | optimized geometry

Results
relative energy among the computed polymorphs	0.175	eV/atom
N(E_F)	5.18	states/eV/f.u.
energy relative to the elements	2.7	eV per formula unit

Unit cell a=2.9456 b=2.9456 c=8.8229 alpha=90.00 beta=90.00 gamma=90.00
Closest atoms and distances in Å follow each position.
Fractional coordinates of all 4 atoms:
Sr 0.0000 0.0000 0.0000  4 Sr 2.95
Tc 0.0000 0.0000 0.4636  4 Tc 2.57, 4 Mo 2.83
Tc 0.5000 0.5000 0.2925  4 Tc 2.57
Mo 0.5000 0.5000 0.6808  4 Tc 2.83, 4 Mo 2.95


No. 11
LaPrGdZr | PBE | optimized geometry

Results
N(E_F)	6.74	states/eV/f.u.
energy relative to the elements	0.8	eV per formula unit

Unit cell a=5.5982 b=5.5982 c=5.5982 alpha=60.00 beta=60.00 gamma=60.00
Closest atoms and distances in Å follow each position.
Fractional coordinates of all 4 atoms:
La 0.0000 0.0000 0.0000  4 Gd 3.43, 4 Zr 3.43
Pr 0.5000 0.5000 0.5000  4 Zr 3.43, 4 Gd 3.43
Gd 0.7500 0.7500 0.7500  4 La 3.43, 4 Pr 3.43
Zr 0.2500 0.2500 0.2500  4 La 3.43, 4 Pr 3.43


No. 12
LaInPb2 | PBE | optimized geometry

Results
N(E_F)	3.67	states/eV/f.u.
energy relative to the elements	-1.1	eV per formula unit

Unit cell a=4.1342 b=4.1342 c=7.0877 alpha=90.00 beta=90.00 gamma=90.15
Closest atoms and distances in Å follow each position.
Fractional coordinates of all 4 atoms:
La 0.0000 0.0000 0.0000  8 Pb 3.50-3.51, 2 In 3.54
In 0.0000 0.0000 0.5000  8 Pb 3.33-3.34, 2 La 3.54
Pb 0.5000 0.5000 0.2736  1 Pb 3.21, 4 In 3.33-3.34, 4 La 3.50-3.51
Pb 0.5000 0.5000 0.7264  1 Pb 3.21, 4 In 3.33-3.34, 4 La 3.50-3.51


Here are the calculated total DFT energy (no corrections) numbers, same order: -25.90, -41.23, -27.84, -23.58, -42.45, -29.15, -453.60, -42.92, -12.00, -30.54, -31.55, -16.17 (eV/cell).